1.
This record from the Alexandria database describes a relaxed Dy7Er3Sc2 crystal. The functional is GGA-PBE.

Summary:
The energy above the most stable polymorph in this dataset comes out at 0.000 eV/atom. The calculated formation energy is 104 meV/atom. The density of states at the Fermi level comes out at 17.08 states/eV per cell.

Structure (CIF):
```
data_Dy7Er3Sc2
_cell_length_a 5.7011
_cell_length_b 3.5075
_cell_length_c 18.2420
_cell_angle_alpha 90.00
_cell_angle_beta 93.64
_cell_angle_gamma 90.00
_symmetry_space_group_name_H-M 'P 1 2/m 1'
_symmetry_Int_Tables_number 10
loop_
_symmetry_equiv_pos_as_xyz
'x,y,z'
'-x,-y,-z'
'-x,y,-z'
'x,-y,z'
loop_
_atom_site_label
_atom_site_type_symbol
_atom_site_fract_x
_atom_site_fract_y
_atom_site_fract_z
Dy1 Dy 0.0000 0.0000 0.0000
Dy2 Dy 0.1867 0.5000 0.1840
Dy3 Dy 0.2579 0.5000 0.5382
Dy4 Dy 0.3159 0.0000 0.8528
Er1 Er 0.2210 0.0000 0.3661
Er2 Er 0.5000 0.5000 0.0000
Sc1 Sc 0.2903 0.5000 0.7040
```

2.
This record from the Alexandria database describes a relaxed LaPtS2Cl crystal. The functional is GGA-PBE.

Summary:
The energy above the most stable polymorph in this dataset comes out at 0.000 eV/atom. The density of states at the Fermi level comes out at 4.16 states/eV per cell. The value obtained for the uncorrected formation energy is -21.5 kcal/mol of atoms.

Structure (CIF):
```
data_LaPtS2Cl
_cell_length_a 4.8152
_cell_length_b 4.8152
_cell_length_c 4.7329
_cell_angle_alpha 90.00
_cell_angle_beta 90.00
_cell_angle_gamma 90.00
_symmetry_space_group_name_H-M 'P 4/m m m'
_symmetry_Int_Tables_number 123
_symmetry_space_group_name_Hall '-P 4 2'
loop_
_atom_site_label
_atom_site_type_symbol
_atom_site_fract_x
_atom_site_fract_y
_atom_site_fract_z
La1 La 0.0000 0.0000 0.0000
Pt1 Pt 0.5000 0.5000 0.5000
S1 S 0.0000 0.5000 0.5000
Cl1 Cl 0.5000 0.5000 0.0000
```